Entry 1:
Bi3WO | PBE with a Hubbard U | relaxed

a b c (Å): 5.350 5.350 5.350
angles (deg): 90.00 90.00 90.00
Space group Pm-3m (No. 221)
Symmetry-distinct sites (fractional):
Bi (0.000, 0.000, 0.500) (multiplicity 3)
W (0.000, 0.000, 0.000) (multiplicity 1)
O (0.500, 0.500, 0.500) (multiplicity 1)

Summary:
Energy above the lowest structure with this stoichiometry (meV per atom): 867
DOS at the Fermi energy (states/eV/cell): 3.87
Total moment (μB/f.u.): 0.00

Entry 2:
BiW2O | PBE with a Hubbard U | relaxed

a b c (Å): 6.835 6.835 6.835
angles (deg): 90.00 90.00 90.00
Space group Fm-3m (No. 225)
Symmetry-distinct sites (fractional):
Bi (0.000, 0.000, 0.000) (multiplicity 4)
W (0.250, 0.250, 0.250) (multiplicity 8)
O (0.000, 0.000, 0.500) (multiplicity 4)

Summary:
Energy above the lowest structure with this stoichiometry (meV per atom): 910
DOS at the Fermi energy (states/eV/cell): 12.19
Total moment (μB/f.u.): 6.95

Entry 3:
BiWO5 | PBE with a Hubbard U | relaxed

a b c (Å): 8.996 6.711 7.652
angles (deg): 90.00 115.16 90.00
Space group C2/c (No. 15)
Symmetry-distinct sites (fractional):
Bi (0.000, 0.000, 0.250) (multiplicity 4)
W (0.000, 0.500, 0.000) (multiplicity 4)
O (0.000, 0.499, 0.250) (multiplicity 4)
O (0.001, 0.202, 0.000) (multiplicity 8)
O (0.232, 0.499, 0.616) (multiplicity 8)

Summary:
Energy above the lowest structure with this stoichiometry (meV per atom): 0
DOS at the Fermi energy (states/eV/cell): 9.52
Total moment (μB/f.u.): 0.00

Entry 4:
BiWO5 | PBE with a Hubbard U | relaxed

a b c (Å): 8.968 6.543 8.082
angles (deg): 90.00 117.10 90.00
Space group C2/c (No. 15)
Symmetry-distinct sites (fractional):
Bi (0.000, 0.000, 0.000) (multiplicity 4)
W (0.000, 0.490, 0.250) (multiplicity 4)
O (0.000, 0.154, 0.250) (multiplicity 4)
O (0.031, 0.329, 0.937) (multiplicity 8)
O (0.229, 0.434, 0.337) (multiplicity 8)

Summary:
Energy above the lowest structure with this stoichiometry (meV per atom): 87
DOS at the Fermi energy (states/eV/cell): 5.52
Total moment (μB/f.u.): 0.00

Entry 5:
BiWO2 | PBE with a Hubbard U | relaxed

a b c (Å): 5.918 5.918 9.459
angles (deg): 90.00 90.00 90.00
Space group I-42d (No. 122)
Symmetry-distinct sites (fractional):
Bi (0.000, 0.000, 0.000) (multiplicity 4)
W (0.000, 0.000, 0.500) (multiplicity 4)
O (0.087, 0.250, 0.625) (multiplicity 8)

Summary:
DOS at the Fermi energy (states/eV/cell): 6.91
Total moment (μB/f.u.): 1.92
Raw total energy (eV per atom): -5.99

Entry 6:
Bi14WO24 | PBE with a Hubbard U | relaxed

a b c (Å): 8.891 8.894 10.667
angles (deg): 114.19 114.48 90.19
Space group P1 (No. 1)
Symmetry-distinct sites (fractional):
Bi (0.000, 0.000, 0.000) (multiplicity 1)
Bi (0.026, 0.849, 0.343) (multiplicity 1)
Bi (0.088, 0.734, 0.665) (multiplicity 1)
Bi (0.111, 0.571, 0.002) (multiplicity 1)
Bi (0.221, 0.441, 0.317) (multiplicity 1)
Bi (0.271, 0.320, 0.663) (multiplicity 1)
Bi (0.339, 0.229, 0.995) (multiplicity 1)
Bi (0.425, 0.072, 0.346) (multiplicity 1)
Bi (0.495, 0.925, 0.669) (multiplicity 1)
Bi (0.615, 0.657, 0.342) (multiplicity 1)
Bi (0.691, 0.515, 0.670) (multiplicity 1)
Bi (0.776, 0.342, 0.007) (multiplicity 1)
Bi (0.838, 0.264, 0.349) (multiplicity 1)
Bi (0.894, 0.133, 0.682) (multiplicity 1)
W (0.577, 0.814, 0.025) (multiplicity 1)
O (0.012, 0.546, 0.159) (multiplicity 1)
O (0.050, 0.118, 0.506) (multiplicity 1)
O (0.058, 0.461, 0.505) (multiplicity 1)
O (0.098, 0.029, 0.841) (multiplicity 1)
O (0.148, 0.331, 0.838) (multiplicity 1)
O (0.178, 0.908, 0.242) (multiplicity 1)
O (0.225, 0.790, 0.505) (multiplicity 1)
O (0.259, 0.188, 0.159) (multiplicity 1)
O (0.315, 0.493, 0.160) (multiplicity 1)
O (0.375, 0.290, 0.494) (multiplicity 1)
O (0.431, 0.618, 0.941) (multiplicity 1)
O (0.433, 0.171, 0.767) (multiplicity 1)
O (0.467, 0.961, 0.963) (multiplicity 1)
O (0.548, 0.608, 0.495) (multiplicity 1)
O (0.558, 0.970, 0.514) (multiplicity 1)
O (0.670, 0.900, 0.234) (multiplicity 1)
O (0.679, 0.411, 0.242) (multiplicity 1)
O (0.739, 0.295, 0.518) (multiplicity 1)
O (0.747, 0.778, 0.969) (multiplicity 1)
O (0.795, 0.088, 0.848) (multiplicity 1)
O (0.853, 0.390, 0.846) (multiplicity 1)
O (0.887, 0.790, 0.506) (multiplicity 1)
O (0.937, 0.676, 0.766) (multiplicity 1)
O (0.954, 0.241, 0.162) (multiplicity 1)

Summary:
DOS at the Fermi energy (states/eV/cell): 0.00
Total moment (μB/f.u.): 0.00
Raw total energy (eV per atom): -5.94

Entry 7:
BiWO2 | PBE with a Hubbard U | relaxed

a b c (Å): 3.1163 3.1163 22.6661
angles (deg): 90.00 90.00 120.00
Space group R-3m (No. 166, hexagonal axes)
Symmetry-distinct sites (fractional):
Bi (0.0000, 0.0000, 0.0000) (multiplicity 3)
W (0.0000, 0.0000, 0.5000) (multiplicity 3)
O (0.0000, 0.0000, 0.4170) (multiplicity 6)

Summary:
DOS at the Fermi energy (states/eV/cell): 4.38
Total moment (μB/f.u.): 0.00
Raw total energy (eV per atom): -5.79

Entry 8:
BiWO6 | PBE with a Hubbard U | relaxed

a b c (Å): 8.027 8.027 8.027
angles (deg): 90.00 90.00 90.00
Space group Fm-3m (No. 225)
Symmetry-distinct sites (fractional):
Bi (0.000, 0.000, 0.000) (multiplicity 4)
W (0.000, 0.000, 0.500) (multiplicity 4)
O (0.000, 0.000, 0.261) (multiplicity 24)

Summary:
DOS at the Fermi energy (states/eV/cell): 20.00
Total moment (μB/f.u.): 0.87
Raw total energy (eV per atom): -6.15